CsLaCoO3 | PBE+U | relaxed

**DFT total energy**: -0.466 Ry per atom
**Total moment**: 3.00 μB per formula unit

Lattice parameters (Å, degrees): 3.6856 13.2961 9.6722 90.00 90.00 90.00
Closest atoms and distances in Å follow each position.
Space group Cmcm (No. 63)
Unique sites:
1 Cs 0.0000 0.2357 0.2500  6 O 3.20-3.30, 2 Co 3.54
2 La 0.0000 0.5000 0.0000  6 O 2.40-2.47
3 Co 0.0000 0.0370 0.7500  4 O 1.92-2.10
4 O 0.0000 0.1032 0.5731  1 Co 1.92
5 O 0.0000 0.4613 0.7500  2 Co 2.10